Record 1
! BaSi3 | the Alexandria database | PBE | relaxed; values from VASP
&SYSTEM
  ibrav = 0, nat = 4, ntyp = 2
/
ATOMIC_SPECIES
Ba 137.33 Ba.upf
Si 28.09 Si.upf
CELL_PARAMETERS angstrom
2.1358 1.2331 5.7994
-2.1358 1.2331 5.7994
0.0000 -2.4662 5.7994
ATOMIC_POSITIONS angstrom
Ba 0.0000 0.0000 0.0000
Si 0.0000 0.0000 3.4842
Si 0.0000 0.0000 8.6991
Si 0.0000 0.0000 13.9140
! Crystal system: trigonal
! ΔE_f (raw) (eV/atom): -0.128
! Calculated total energy (eV per cell): -18.7


Record 2
! Tb2Pr3HoS6 | the Alexandria database | PBE | relaxed; values from VASP
&SYSTEM
  ibrav = 0, nat = 12, ntyp = 4
/
ATOMIC_SPECIES
Tb 158.93 Tb.upf
Pr 140.91 Pr.upf
Ho 164.93 Ho.upf
S 32.06 S.upf
CELL_PARAMETERS angstrom
3.4398 -5.9771 0.0000
3.4398 5.9771 0.0000
-2.3018 0.0000 6.6520
ATOMIC_POSITIONS angstrom
Tb 3.4398 3.9843 0.0000
Tb 3.4398 -3.9843 0.0000
Pr -1.1509 0.0000 3.3260
Pr 2.2889 2.0067 3.3260
Pr 2.2889 -2.0067 3.3260
Ho 3.4398 0.0000 0.0000
S 0.0033 1.9771 5.1128
S 1.1619 0.0000 1.5462
S 0.0033 -1.9771 5.1128
S 4.5745 1.9771 1.5392
S 3.4159 0.0000 5.1058
S 4.5745 -1.9771 1.5392
! Crystal system: monoclinic
! ΔE_f (raw) (eV/atom): -2.018
! Calculated total energy (eV per cell): -77.2


Record 3
! NaSnMoH | the Alexandria database | PBE | relaxed; values from VASP
&SYSTEM
  ibrav = 0, nat = 4, ntyp = 4
/
ATOMIC_SPECIES
Na 22.99 Na.upf
Sn 118.71 Sn.upf
Mo 95.94 Mo.upf
H 1.01 H.upf
CELL_PARAMETERS angstrom
2.9186 0.0000 0.0000
0.0000 1.4557 7.8391
0.0000 -1.4557 7.8391
ATOMIC_POSITIONS angstrom
Na 0.0000 0.0000 0.0000
Sn 1.4593 0.0000 10.5086
Mo 1.4593 0.0000 5.2006
H 0.0000 0.0000 13.3166
! Crystal system: orthorhombic
! Energy above the lowest structure with this stoichiometry (meV per atom): 162
! Calculated total energy (eV per cell): -18.2


Record 4
! FeCoOs2 | the Alexandria database | PBE | relaxed; values from VASP
&SYSTEM
  ibrav = 0, nat = 4, ntyp = 3
/
ATOMIC_SPECIES
Fe 55.84 Fe.upf
Co 58.93 Co.upf
Os 190.23 Os.upf
CELL_PARAMETERS angstrom
1.3845 -2.2357 0.0000
1.3845 2.2357 0.0000
0.0000 0.0000 8.6585
ATOMIC_POSITIONS angstrom
Fe 0.0000 0.0000 0.0000
Co 1.3845 0.0000 6.6892
Os 0.0000 0.0000 4.5095
Os 1.3845 0.0000 2.1773
! Crystal system: orthorhombic
! Energy above the lowest structure with this stoichiometry (meV per atom): 308
! Calculated total energy (eV per cell): -36.4
! Energy of formation from the pure elements (eV/atom): 0.42


Number 1: DOS(E_F) 0.330 states/eV per atom, magnetic moment 0.00 μB per cell. Number 2: DOS(E_F) 0.436 states/eV per atom, magnetic moment 0.00 μB per cell. Number 3: DOS(E_F) 0.703 states/eV per atom, magnetic moment 0.00 μB per cell. Number 4: DOS(E_F) 1.362 states/eV per atom, magnetic moment 4.66 μB per cell.